# 1
BeS3O | PBE | relaxed

POSCAR file:
```
BeS3O
1.0
4.1563 0.0000 0.0000
0.0000 4.1563 0.0000
0.0000 0.0000 4.1563
Be S O
1 3 1
Direct
0.0000 0.0000 0.0000 Be
0.0000 0.0000 0.5000 S
0.0000 0.5000 0.0000 S
0.5000 0.0000 0.0000 S
0.5000 0.5000 0.5000 O
```

Computed properties:
- ρ (g/cm3) = 2.803
- total moment (Bohr magnetons per cell) = 0.0
- total DFT energy (no corrections) (eV per atom) = -3.253
- formation energy (no corrections) (eV/atom) = 0.96
- space-group type = Pm-3m, No. 221

=====

# 2
ZnNi4Pt3 | PBE | relaxed

POSCAR file:
```
ZnNi4Pt3
1.0
8.6476 0.0000 0.0000
0.0000 5.3855 0.0000
0.0000 0.0000 4.5229
Zn Ni Pt
2 8 6
Direct
0.0000 0.0000 0.0000 Zn
0.5000 0.0000 0.0000 Zn
0.0000 0.2486 0.5000 Ni
0.0000 0.7514 0.5000 Ni
0.2500 0.2510 0.1546 Ni
0.2500 0.7490 0.1546 Ni
0.5000 0.2486 0.5000 Ni
0.5000 0.7514 0.5000 Ni
0.7500 0.2510 0.8454 Ni
0.7500 0.7490 0.8454 Ni
0.0000 0.5000 0.0000 Pt
0.2500 0.0000 0.6452 Pt
0.2500 0.5000 0.6407 Pt
0.5000 0.5000 0.0000 Pt
0.7500 0.0000 0.3548 Pt
0.7500 0.5000 0.3593 Pt
```

Computed properties:
- ρ (g/cm3) = 13.960
- total moment (Bohr magnetons per cell) = 5.8
- total DFT energy (no corrections) (eV per atom) = -5.479
- space-group type = Pmma, No. 51
- energy of formation (kJ/mol of formula units) = -126.6

=====

# 3
TaMn2In | PBE | relaxed

POSCAR file:
```
TaMn2In
1.0
1.5243 0.8801 8.5089
-1.5243 0.8801 8.5089
0.0000 -1.7601 8.5089
Ta Mn In
1 2 1
Direct
0.0000 0.0000 0.0000 Ta
0.2565 0.2565 0.2565 Mn
0.7435 0.7435 0.7435 Mn
0.5000 0.5000 0.5000 In
```

Computed properties:
- ρ (g/cm3) = 9.835
- total moment (Bohr magnetons per cell) = 4.9
- total DFT energy (no corrections) (eV per atom) = -7.910
- space-group type = R-3m, No. 166
- energy of formation (kJ/mol of formula units) = 124.4